No. 1
# Ho5TmSb6

Ho5TmSb6 after structural relaxation (PBE-GGA, Alexandria).

raw total energy	-5.45	eV per atom
formation energy (no corrections)	-1.1060	eV per atom
SG	C2/m (12)

Structure (CIF):
```
data_Ho5TmSb6
_cell_length_a 7.556
_cell_length_b 7.556
_cell_length_c 7.554
_cell_angle_alpha 99.60
_cell_angle_beta 99.60
_cell_angle_gamma 119.99
_symmetry_space_group_name_H-M 'P 1'
_symmetry_Int_Tables_number 1
loop_
_symmetry_equiv_pos_as_xyz
'x,y,z'
loop_
_atom_site_label
_atom_site_fract_x
_atom_site_fract_y
_atom_site_fract_z
Ho1 0.000 0.000 0.000
Ho2 0.167 0.833 0.500
Ho3 0.333 0.667 0.000
Ho4 0.667 0.333 0.000
Ho5 0.833 0.167 0.500
Tm1 0.500 0.500 0.500
Sb1 0.085 0.417 0.251
Sb2 0.251 0.251 0.749
Sb3 0.417 0.085 0.251
Sb4 0.583 0.915 0.749
Sb5 0.749 0.749 0.251
Sb6 0.915 0.583 0.749
```

No. 2
# Y2HoTm3Sb6

Y2HoTm3Sb6 after structural relaxation (PBE-GGA, Alexandria).

raw total energy	-5.75	eV per atom
formation energy (no corrections)	-1.1081	eV per atom
SG	C2/m (12)

Structure (CIF):
```
data_Y2HoTm3Sb6
_cell_length_a 9.748
_cell_length_b 9.748
_cell_length_c 8.721
_cell_angle_alpha 102.86
_cell_angle_beta 102.86
_cell_angle_gamma 25.84
_symmetry_space_group_name_H-M 'P 1'
_symmetry_Int_Tables_number 1
loop_
_symmetry_equiv_pos_as_xyz
'x,y,z'
loop_
_atom_site_label
_atom_site_fract_x
_atom_site_fract_y
_atom_site_fract_z
Y1 0.167 0.167 0.333
Y2 0.833 0.833 0.667
Ho1 0.500 0.500 0.000
Tm1 0.167 0.167 0.833
Tm2 0.500 0.500 0.500
Tm3 0.833 0.833 0.167
Sb1 0.001 0.001 0.749
Sb2 0.333 0.333 0.919
Sb3 0.334 0.334 0.415
Sb4 0.666 0.666 0.585
Sb5 0.667 0.667 0.081
Sb6 0.999 0.999 0.251
```

No. 3
# Ho3USb4

Ho3USb4 after structural relaxation (PBE-GGA, Alexandria).

raw total energy	-6.06	eV per atom
formation energy (no corrections)	-0.8720	eV per atom
SG	Cmmm (65)

Structure (CIF):
```
data_Ho3USb4
_cell_length_a 8.787
_cell_length_b 12.341
_cell_length_c 4.351
_cell_angle_alpha 90.00
_cell_angle_beta 90.00
_cell_angle_gamma 90.00
_symmetry_space_group_name_H-M 'P 1'
_symmetry_Int_Tables_number 1
loop_
_symmetry_equiv_pos_as_xyz
'x,y,z'
loop_
_atom_site_label
_atom_site_fract_x
_atom_site_fract_y
_atom_site_fract_z
Ho1 0.000 0.000 0.000
Ho2 0.250 0.250 0.500
Ho3 0.250 0.750 0.500
Ho4 0.500 0.500 0.000
Ho5 0.750 0.250 0.500
Ho6 0.750 0.750 0.500
U1 0.000 0.500 0.000
U2 0.500 0.000 0.000
Sb1 0.000 0.251 0.000
Sb2 0.000 0.749 0.000
Sb3 0.248 0.000 0.500
Sb4 0.252 0.500 0.500
Sb5 0.500 0.249 0.000
Sb6 0.500 0.751 0.000
Sb7 0.748 0.500 0.500
Sb8 0.752 0.000 0.500
```

No. 4
# Ho4USb5

Ho4USb5 after structural relaxation (PBE-GGA, Alexandria).

raw total energy	-5.94	eV per atom
formation energy (no corrections)	-0.9188	eV per atom
SG	I4/m (87)

Structure (CIF):
```
data_Ho4USb5
_cell_length_a 7.564
_cell_length_b 7.564
_cell_length_c 7.564
_cell_angle_alpha 99.62
_cell_angle_beta 99.62
_cell_angle_gamma 131.75
_symmetry_space_group_name_H-M 'P 1'
_symmetry_Int_Tables_number 1
loop_
_symmetry_equiv_pos_as_xyz
'x,y,z'
loop_
_atom_site_label
_atom_site_fract_x
_atom_site_fract_y
_atom_site_fract_z
Ho1 0.100 0.700 0.800
Ho2 0.300 0.100 0.400
Ho3 0.700 0.900 0.600
Ho4 0.900 0.300 0.200
U1 0.500 0.500 0.000
Sb1 0.000 0.000 0.000
Sb2 0.201 0.401 0.601
Sb3 0.401 0.799 0.200
Sb4 0.599 0.201 0.800
Sb5 0.799 0.599 0.399
```

No. 5
# HoUSb2

HoUSb2 after structural relaxation (PBE-GGA, Alexandria).

raw total energy	-6.68	eV per atom
energy above the most stable polymorph in this dataset	0.0	meV/atom
formation energy (no corrections)	-0.6485	eV per atom
SG	R-3m (166)

Structure (CIF):
```
data_HoUSb2
_cell_length_a 4.324
_cell_length_b 4.324
_cell_length_c 21.862
_cell_angle_alpha 90.00
_cell_angle_beta 90.00
_cell_angle_gamma 120.00
_symmetry_space_group_name_H-M 'P 1'
_symmetry_Int_Tables_number 1
loop_
_symmetry_equiv_pos_as_xyz
'x,y,z'
loop_
_atom_site_label
_atom_site_fract_x
_atom_site_fract_y
_atom_site_fract_z
Ho1 0.000 0.000 0.000
Ho2 0.333 0.667 0.667
Ho3 0.667 0.333 0.333
U1 0.000 0.000 0.500
U2 0.333 0.667 0.167
U3 0.667 0.333 0.833
Sb1 0.000 0.000 0.251
Sb2 0.000 0.000 0.749
Sb3 0.333 0.667 0.416
Sb4 0.333 0.667 0.918
Sb5 0.667 0.333 0.082
Sb6 0.667 0.333 0.584
```

No. 6
# HoUSb2

HoUSb2 after structural relaxation (PBE-GGA, Alexandria).

raw total energy	-5.81	eV per atom
energy above the most stable polymorph in this dataset	863.5	meV/atom
formation energy (no corrections)	0.2150	eV per atom
SG	R-3m (166)

Structure (CIF):
```
data_HoUSb2
_cell_length_a 4.068
_cell_length_b 4.068
_cell_length_c 29.701
_cell_angle_alpha 90.00
_cell_angle_beta 90.00
_cell_angle_gamma 120.00
_symmetry_space_group_name_H-M 'P 1'
_symmetry_Int_Tables_number 1
loop_
_symmetry_equiv_pos_as_xyz
'x,y,z'
loop_
_atom_site_label
_atom_site_fract_x
_atom_site_fract_y
_atom_site_fract_z
Ho1 0.000 0.000 0.000
Ho2 0.333 0.667 0.667
Ho3 0.667 0.333 0.333
U1 0.000 0.000 0.500
U2 0.333 0.667 0.167
U3 0.667 0.333 0.833
Sb1 0.000 0.000 0.101
Sb2 0.000 0.000 0.899
Sb3 0.333 0.667 0.566
Sb4 0.333 0.667 0.767
Sb5 0.667 0.333 0.233
Sb6 0.667 0.333 0.434
```

No. 7
# HoUSb2

HoUSb2 after structural relaxation (PBE-GGA, Alexandria).

raw total energy	-6.49	eV per atom
energy above the most stable polymorph in this dataset	188.1	meV/atom
formation energy (no corrections)	-0.4604	eV per atom
SG	P4/mmm (123)

Structure (CIF):
```
data_HoUSb2
_cell_length_a 5.266
_cell_length_b 5.266
_cell_length_c 3.791
_cell_angle_alpha 90.00
_cell_angle_beta 90.00
_cell_angle_gamma 90.00
_symmetry_space_group_name_H-M 'P 1'
_symmetry_Int_Tables_number 1
loop_
_symmetry_equiv_pos_as_xyz
'x,y,z'
loop_
_atom_site_label
_atom_site_fract_x
_atom_site_fract_y
_atom_site_fract_z
Ho1 0.000 0.000 0.000
U1 0.500 0.500 0.000
Sb1 0.000 0.500 0.500
Sb2 0.500 0.000 0.500
```

No. 8
# HoVSb

HoVSb after structural relaxation (PBE-GGA, Alexandria).

raw total energy	-6.19	eV per atom
formation energy (no corrections)	-0.2456	eV per atom
SG	Fmmm (69)

Structure (CIF):
```
data_HoVSb
_cell_length_a 8.191
_cell_length_b 8.055
_cell_length_c 4.435
_cell_angle_alpha 75.85
_cell_angle_beta 72.48
_cell_angle_gamma 31.67
_symmetry_space_group_name_H-M 'P 1'
_symmetry_Int_Tables_number 1
loop_
_symmetry_equiv_pos_as_xyz
'x,y,z'
loop_
_atom_site_label
_atom_site_fract_x
_atom_site_fract_y
_atom_site_fract_z
Ho1 0.122 0.122 0.878
Ho2 0.878 0.878 0.122
V1 0.358 0.642 0.358
V2 0.642 0.358 0.642
Sb1 0.328 0.328 0.672
Sb2 0.672 0.672 0.328
```